Entry from the Alexandria database: TlCoPtO4 after structural relaxation (PBE with a Hubbard U).

The space group is Imma (No. 74) and the conventional cell measures 5.903, 6.422 and 9.770 Å, with angles of 90.00, 90.00 and 90.00 degrees. The asymmetric unit holds Tl at (0.000, 0.000, 0.000), Co at (0.000, 0.250, 0.270), Pt at (0.250, 0.250, 0.750), O at (0.000, 0.047, 0.707) and O at (0.216, 0.250, 0.124).

The density of states at the Fermi level comes out at 15.03 states/eV per cell. The total energy comes out at -5.264 eV/atom. The value obtained for the calculated density is 9.4 Mg/m³.